# CrAsPb2 GGA-PBEsol optimized geometry
data_CrAsPb2
_cell_length_a 5.483
_cell_length_b 5.483
_cell_length_c 5.483
_cell_angle_alpha 131.05
_cell_angle_beta 131.05
_cell_angle_gamma 71.73
_space_group_name_H-M_alt 'P 1'
_space_group_IT_number 1
loop_
_space_group_symop_operation_xyz
'x,y,z'
loop_
_atom_site_label
_atom_site_fract_x
_atom_site_fract_y
_atom_site_fract_z
Cr1 0.000 0.000 0.000
As1 0.250 0.750 0.500
Pb1 0.500 0.500 0.000
Pb2 0.750 0.250 0.500
# E_form, eV per atom: 0.465
# Space-group type: No. 119
# DOS at the Fermi energy, states/eV/cell: 2.11
# Calculated volume, Å³/cell: 91.7
# VASP energy, eV per cell: -21.48

# ScAlCO GGA-PBEsol optimized geometry
data_ScAlCO
_cell_length_a 10.173
_cell_length_b 10.173
_cell_length_c 10.173
_cell_angle_alpha 18.46
_cell_angle_beta 18.46
_cell_angle_gamma 18.46
_space_group_name_H-M_alt 'P 1'
_space_group_IT_number 1
loop_
_space_group_symop_operation_xyz
'x,y,z'
loop_
_atom_site_label
_atom_site_fract_x
_atom_site_fract_y
_atom_site_fract_z
Sc1 0.000 0.000 0.000
Sc2 0.500 0.500 0.500
Al1 0.239 0.239 0.239
Al2 0.761 0.761 0.761
C1 0.119 0.119 0.119
C2 0.881 0.881 0.881
O1 0.300 0.300 0.300
O2 0.700 0.700 0.700
# Space-group type: No. 166
# Distance to the lowest polymorph of the same formula, eV/atom: 0.013
# DOS at the Fermi energy, states/eV/cell: 0.03
# Calculated volume, Å³/cell: 92.2
# VASP energy, eV per cell: -65.07
# E_form (uncorrected), kJ/mol of formula units: -670

# GaCuSb2I GGA-PBEsol optimized geometry
data_GaCuSb2I
_cell_length_a 4.982
_cell_length_b 4.982
_cell_length_c 5.545
_cell_angle_alpha 90.00
_cell_angle_beta 90.00
_cell_angle_gamma 90.00
_space_group_name_H-M_alt 'P 1'
_space_group_IT_number 1
loop_
_space_group_symop_operation_xyz
'x,y,z'
loop_
_atom_site_label
_atom_site_fract_x
_atom_site_fract_y
_atom_site_fract_z
Ga1 0.000 0.000 0.000
Cu1 0.500 0.500 0.500
Sb1 0.000 0.500 0.500
Sb2 0.500 0.000 0.500
I1 0.500 0.500 0.000
# Space-group type: No. 123
# DOS at the Fermi energy, states/eV/cell: 4.66
# Calculated volume, Å³/cell: 137.6
# VASP energy, eV per cell: -16.39
# E_form (uncorrected), kJ/mol of formula units: 209

# TaTlCo2C GGA-PBEsol optimized geometry
data_TaTlCo2C
_cell_length_a 3.951
_cell_length_b 3.951
_cell_length_c 4.210
_cell_angle_alpha 90.00
_cell_angle_beta 90.00
_cell_angle_gamma 90.00
_space_group_name_H-M_alt 'P 1'
_space_group_IT_number 1
loop_
_space_group_symop_operation_xyz
'x,y,z'
loop_
_atom_site_label
_atom_site_fract_x
_atom_site_fract_y
_atom_site_fract_z
Ta1 0.000 0.000 0.000
Tl1 0.500 0.500 0.000
Co1 0.000 0.500 0.500
Co2 0.500 0.000 0.500
C1 0.000 0.000 0.500
# E_form, eV per atom: 0.193
# Space-group type: No. 123
# DOS at the Fermi energy, states/eV/cell: 4.42
# Calculated volume, Å³/cell: 65.7
# VASP energy, eV per cell: -39.34

# SrLa2Cu GGA-PBEsol optimized geometry
data_SrLa2Cu
_cell_length_a 3.663
_cell_length_b 3.663
_cell_length_c 9.167
_cell_angle_alpha 90.00
_cell_angle_beta 90.00
_cell_angle_gamma 90.00
_space_group_name_H-M_alt 'P 1'
_space_group_IT_number 1
loop_
_space_group_symop_operation_xyz
'x,y,z'
loop_
_atom_site_label
_atom_site_fract_x
_atom_site_fract_y
_atom_site_fract_z
Sr1 0.000 0.000 0.000
La1 0.000 0.000 0.388
La2 0.500 0.500 0.655
Cu1 0.500 0.500 0.219
# E_form, eV per atom: 0.032
# Space-group type: No. 99
# Distance to the lowest polymorph of the same formula, eV/atom: 0.000
# DOS at the Fermi energy, states/eV/cell: 4.31
# Calculated volume, Å³/cell: 123.0
# VASP energy, eV per cell: -16.74

# BaCrAu2I GGA-PBEsol optimized geometry
data_BaCrAu2I
_cell_length_a 5.485
_cell_length_b 5.485
_cell_length_c 4.943
_cell_angle_alpha 90.00
_cell_angle_beta 90.00
_cell_angle_gamma 90.00
_space_group_name_H-M_alt 'P 1'
_space_group_IT_number 1
loop_
_space_group_symop_operation_xyz
'x,y,z'
loop_
_atom_site_label
_atom_site_fract_x
_atom_site_fract_y
_atom_site_fract_z
Ba1 0.000 0.000 0.000
Cr1 0.500 0.500 0.000
Au1 0.000 0.500 0.500
Au2 0.500 0.000 0.500
I1 0.500 0.500 0.500
# Space-group type: No. 123
# DOS at the Fermi energy, states/eV/cell: 3.87
# Calculated volume, Å³/cell: 148.7
# VASP energy, eV per cell: -19.27
# E_form (uncorrected), kJ/mol of formula units: 264

# Zr2CoAu GGA-PBEsol optimized geometry
data_Zr2CoAu
_cell_length_a 3.132
_cell_length_b 3.081
_cell_length_c 7.150
_cell_angle_alpha 90.00
_cell_angle_beta 92.20
_cell_angle_gamma 90.00
_space_group_name_H-M_alt 'P 1'
_space_group_IT_number 1
loop_
_space_group_symop_operation_xyz
'x,y,z'
loop_
_atom_site_label
_atom_site_fract_x
_atom_site_fract_y
_atom_site_fract_z
Zr1 0.023 0.000 0.279
Zr2 0.977 0.000 0.721
Co1 0.500 0.500 0.500
Au1 0.500 0.500 0.000
# E_form, eV per atom: -0.397
# Space-group type: No. 10
# Distance to the lowest polymorph of the same formula, eV/atom: 0.029
# DOS at the Fermi energy, states/eV/cell: 3.85
# Calculated volume, Å³/cell: 69.0
# VASP energy, eV per cell: -31.43

# CoSi2O GGA-PBEsol optimized geometry
data_CoSi2O
_cell_length_a 5.476
_cell_length_b 5.476
_cell_length_c 5.476
_cell_angle_alpha 126.21
_cell_angle_beta 126.21
_cell_angle_gamma 79.54
_space_group_name_H-M_alt 'P 1'
_space_group_IT_number 1
loop_
_space_group_symop_operation_xyz
'x,y,z'
loop_
_atom_site_label
_atom_site_fract_x
_atom_site_fract_y
_atom_site_fract_z
Co1 0.000 0.000 0.000
Co2 0.750 0.250 0.500
Si1 0.153 0.625 0.028
Si2 0.375 0.403 0.528
Si3 0.597 0.125 0.972
Si4 0.875 0.847 0.472
O1 0.250 0.750 0.500
O2 0.500 0.500 0.000
# Space-group type: No. 122
# DOS at the Fermi energy, states/eV/cell: 4.27
# Calculated volume, Å³/cell: 103.3
# VASP energy, eV per cell: -52.46
# E_form (uncorrected), kJ/mol of formula units: -169